First-principles (PBE) data for LiAc2Au after structural relaxation, as listed in Alexandria via LeMat-Bulk.

The structure belongs to space group R3m (No. 160, hexagonal axes); the cell edges are 4.5238, 4.5238 and 22.1026 Å and the angles 90.00°, 90.00° and 120.00°. The asymmetric unit holds Li at (0.0000, 0.0000, 0.0000), Ac at (0.0000, 0.0000, 0.5743), Ac at (0.0000, 0.0000, 0.7638) and Au at (0.0000, 0.0000, 0.3369).

Its spin magnetization is 0.84 μB per formula unit. The calculated formation energy comes out at -342 meV/atom. As for the final energy: -44.32 eV per cell.